Compound: SrMgGa4Pd2
Source: the Alexandria database
Functional: PBE
Structure: relaxed

Output
magnetization = 0.00 μB/atom
final energy = -3.733 eV per atom
space-group type = R-3m
volume = 161 Å³/cell

Geometry as POSCAR:
```
SrMgGa4Pd2
1.0
2.1919 1.2655 9.6490
-2.1919 1.2655 9.6490
0.0000 -2.5310 9.6490
Sr Mg Ga Pd
1 1 4 2
Cartesian
0.0000 0.0000 0.0000
0.0000 0.0000 14.4735
0.0000 0.0000 3.4646
0.0000 0.0000 11.6707
0.0000 0.0000 17.2763
0.0000 0.0000 25.4824
0.0000 0.0000 6.4373
0.0000 0.0000 22.5096
```